YTmNi2Br2 (PBE, optimized geometry); VASP energy = -5.3317 eV/atom
1.0
-3.429 -0.572 -1.878
2.804 -2.782 -0.115
-4.217 -4.626 9.107
Tm Y Br Ni
1 1 2 2
Cartesian
-0.688 -0.755 1.487
-3.521 -3.863 7.604
-0.681 -3.588 2.335
-4.145 -4.373 4.742
-3.468 -6.646 8.354
-1.399 -1.361 -1.188

ScInNiOs (PBE, optimized geometry); VASP energy = -6.3355 eV/atom
1.0
0.000 3.200 3.200
3.200 0.000 3.200
3.200 3.200 0.000
In Sc Ni Os
1 1 1 1
Cartesian
0.000 0.000 0.000
1.600 1.600 1.600
4.800 4.800 4.800
3.200 3.200 3.200

RbSrTb (PBE, optimized geometry); VASP energy = -1.3654 eV/atom
1.0
0.000 4.440 4.440
4.440 0.000 4.440
4.440 4.440 0.000
Tb Sr Rb
1 1 1
Cartesian
6.660 6.660 6.660
2.220 2.220 2.220
0.000 0.000 0.000

SmTmNi2Pb (PBE, optimized geometry); VASP energy = -5.3034 eV/atom
1.0
3.680 0.000 0.000
0.000 1.994 7.147
0.000 -1.994 7.147
Ni Tm Pb Sm
2 1 1 1
Cartesian
0.000 0.000 2.835
0.000 0.000 11.378
1.840 0.000 9.162
0.000 0.000 0.045
1.840 0.000 5.166

TbScTlTe3 (PBE, optimized geometry); VASP energy = -4.7679 eV/atom
1.0
2.193 -7.704 0.000
2.193 7.704 0.000
0.000 0.000 11.788
Te Sc Tl Tb
6 2 2 2
Cartesian
2.193 2.167 5.383
2.193 -2.167 11.277
2.193 6.699 2.947
2.193 -6.699 8.841
2.193 -2.167 6.405
2.193 2.167 0.511
2.193 -0.809 8.841
2.193 0.809 2.947
2.193 3.839 8.841
2.193 -3.839 2.947
0.000 0.000 5.894
0.000 0.000 0.000

TaAlFe2 (PBE, optimized geometry); VASP energy = -7.8454 eV/atom
1.0
2.188 -3.789 0.000
2.188 3.789 0.000
0.000 0.000 6.928
Al Ta Fe
2 2 4
Cartesian
2.188 -1.263 1.732
2.188 1.263 5.196
0.000 0.000 1.732
0.000 0.000 5.196
2.188 -1.263 4.051
2.188 1.263 0.588
2.188 1.263 2.876
2.188 -1.263 6.340